Entry 1:
Below is Pm2SnBr3 after structural relaxation, with properties calculated at the PBE level.

a b c (Å): 4.0627 10.0522 10.9859
angles (deg): 83.76 79.34 78.34
With the nearest neighbours (Å) after each atom.
Positions (direct):
Pm 0.6124 0.2044 0.5708  5 Br 2.95-3.20, 1 Sn 3.19
Br 0.7575 0.8786 0.6064  3 Pm 2.95-3.20
Sn 0.5730 0.4827 0.3713  1 Sn 2.82, 2 Pm 3.14
Sn 0.4270 0.5173 0.6287  1 Sn 2.82, 2 Pm 3.14
Pm 0.3876 0.7956 0.4292  5 Br 2.95-3.20, 1 Sn 3.19
Br 0.2425 0.1214 0.3936  3 Pm 2.95-3.20
Br 0.0485 0.1330 0.7699  3 Pm 2.95-3.00
Br 0.6778 0.6755 0.9690  3 Pm 3.00-3.01
Br 0.9515 0.8670 0.2301  3 Pm 2.95-3.00
Pm 0.1277 0.5819 0.1627  4 Br 2.95-3.01, 2 Sn 3.14
Pm 0.8723 0.4181 0.8373  4 Br 2.95-3.01, 2 Sn 3.14
Br 0.3222 0.3245 0.0310  3 Pm 3.00-3.01



Entry 2:
Below is AsSe2N2 after structural relaxation, with properties calculated at the PBE level.

a b c (Å): 5.1743 5.1743 3.6780
angles (deg): 90.00 90.00 90.00
With the nearest neighbours (Å) after each atom.
Positions (direct):
Se 0.5000 0.0000 0.0000  2 As 2.59
Se 0.0000 0.5000 0.0000  2 As 2.59
N 0.0000 0.0000 0.5000  2 As 1.84
As 0.0000 0.0000 0.0000  2 N 1.84
N 0.5000 0.5000 0.5000  8 Se 3.17

Computed properties:
distance to the lowest polymorph of the same formula = 1949.0 meV per atom



Entry 3:
Below is TiCuPb2S5 after structural relaxation, with properties calculated at the PBE level.

a b c (Å): 3.6864 8.6508 12.5492
angles (deg): 90.00 90.00 102.30
With the nearest neighbours (Å) after each atom.
Positions (direct):
S 0.4892 0.9784 0.2933  1 Cu 2.25
Pb 0.1162 0.2325 0.3016  6 S 2.83-3.15
S 0.6497 0.2993 0.4967  1 Ti 2.47
Pb 0.8917 0.7834 0.1571  6 S 2.82-3.16
S 0.7215 0.4430 0.1561  2 Ti 2.53
Ti 0.2054 0.4107 0.0201  6 S 2.45-2.53
S 0.5108 0.0216 0.7933  1 Cu 2.25
S 0.0629 0.1258 0.0569  2 Cu 2.28, 1 Ti 2.45
Cu 0.5742 0.1484 0.9510  4 S 2.25-2.29
S 0.9371 0.8742 0.5569  2 Cu 2.28, 1 Ti 2.45
Cu 0.4258 0.8516 0.4510  4 S 2.25-2.29
Ti 0.7946 0.5893 0.5201  6 S 2.45-2.53
S 0.7023 0.4046 0.8913  1 Cu 2.29, 2 Ti 2.45
Pb 0.8838 0.7675 0.8016  6 S 2.83-3.15
S 0.2785 0.5570 0.6561  2 Ti 2.53
Pb 0.1083 0.2166 0.6571  6 S 2.82-3.16
S 0.3503 0.7007 0.9967  1 Ti 2.47
S 0.2977 0.5954 0.3913  1 Cu 2.29, 2 Ti 2.45



Entry 4:
Below is ScSb2Pb after structural relaxation, with properties calculated at the PBE level.

a b c (Å): 11.2326 11.2326 11.2326
angles (deg): 17.31 17.31 17.31
With the nearest neighbours (Å) after each atom.
Positions (direct):
Pb 0.7500 0.7500 0.7500  6 Pb 3.38, 6 Sb 3.73
Sb 0.5124 0.5124 0.5124  3 Sc 3.06, 6 Sb 3.38
Sc 0.2500 0.2500 0.2500  6 Sb 3.06, 6 Sc 3.38
Sb 0.9876 0.9876 0.9876  3 Sc 3.06, 6 Sb 3.38



| no. | formation energy from raw total energies (eV/atom) | N(E_F) (states/eV/f.u.) | V (Å³ per cell) |
| --- | --- | --- | --- |
| 1 | -1.361 | 0.85 | 430.64 |
| 2 | 1.950 | 4.52 | 98.47 |
| 3 | -0.643 | 3.66 | 391.01 |
| 4 | -0.242 | 1.76 | 109.54 |